DFT (PBE with a Hubbard U) results for Li10Mn3Cr3Ni2O16 after structural relaxation.

Output
electronic total energy = -207.24 eV per cell
space-group type = No. 1
size of the total moment = 23.02 μB per cell

Cell lengths 5.9565, 5.9661, 9.8084 Å; angles 90.37, 90.60, 119.58 degrees
Last column: nearest neighbours and their distance in Å.
Sites, in units of the cell vectors:
O 0.9896 0.4906 0.1712  3 Li 1.97-2.15, 2 Mn 1.98-2.03, 1 Ni 2.12
O 0.6948 0.8398 0.3989  1 Li 1.86, 2 Mn 2.02-2.05
O 0.1718 0.8355 0.3983  1 Li 1.85, 1 Mn 2.01, 1 Cr 2.07
O 0.5272 0.4943 0.1699  3 Li 1.98-2.13, 1 Mn 1.98, 1 Cr 2.05, 1 Ni 2.13
O 0.8514 0.6818 0.9007  1 Li 1.86, 1 Mn 2.01, 1 Cr 2.07
O 0.3416 0.1630 0.9035  1 Li 1.86, 2 Cr 2.05-2.06
O 0.5258 0.0184 0.1692  3 Li 1.97-2.12, 1 Mn 2.01, 1 Cr 2.04, 1 Ni 2.13
O 0.0320 0.5080 0.6669  3 Li 1.96-2.13, 2 Cr 2.04, 1 Ni 2.12
O 0.0432 0.0133 0.6688  1 Li 1.83, 2 Cr 2.03
O 0.1729 0.3261 0.4010  1 Li 1.86, 1 Mn 2.02, 1 Cr 2.06
O 0.0259 0.0282 0.1691  1 Li 1.83, 1 Cr 2.03, 1 Mn 2.03
O 0.8498 0.1587 0.8977  1 Li 1.85, 1 Mn 2.02, 1 Cr 2.07
O 0.3267 0.6554 0.9103  3 Li 2.01-2.08, 2 Cr 2.04, 1 Mn 2.22
O 0.5093 0.5129 0.6694  3 Li 1.98-2.13, 1 Mn 1.99, 1 Cr 2.05, 1 Ni 2.14
O 0.5075 0.9748 0.6697  3 Li 1.97-2.16, 1 Mn 1.97, 1 Cr 2.04, 1 Ni 2.12
O 0.6687 0.3127 0.4102  3 Li 1.99-2.06, 1 Cr 2.03, 2 Mn 2.04-2.22
Li 0.0177 0.0063 0.9832  4 O 1.83-1.86
Li 0.8148 0.1918 0.5571  3 O 1.98-1.99, 1 Li 2.15
Li 0.8158 0.6025 0.5563  3 O 1.96-2.06
Li 0.4038 0.1894 0.5645  4 O 1.97-2.14, 1 Li 2.14
Li 0.6199 0.8021 0.0573  3 O 1.97-2.08, 1 Li 2.20
Li 0.6871 0.3367 0.7815  6 O 2.09-2.17
Li 0.2034 0.3881 0.0647  4 O 1.97-2.14, 1 Li 2.13
Li 0.3508 0.6715 0.2813  6 O 2.11-2.16
Li 0.2061 0.8009 0.0603  3 O 1.99-2.01, 1 Li 2.16
Li 0.0187 0.0035 0.4824  4 O 1.83-1.86
Ni 0.6761 0.3282 0.0292  6 O 2.11-2.24
Ni 0.3416 0.6615 0.5283  6 O 2.12-2.24
Mn 0.8456 0.6645 0.2846  6 O 1.98-2.22
Mn 0.8454 0.1703 0.2875  6 O 2.01-2.05
Mn 0.6794 0.8316 0.7845  4 O 1.97-2.02
Cr 0.1854 0.3380 0.7863  6 O 2.03-2.07
Cr 0.1849 0.8315 0.7867  6 O 2.03-2.07
Cr 0.3519 0.1706 0.2863  6 O 2.03-2.07